Below is a geometry-optimized Mn2RuPt structure, with properties calculated at the PBE level.

Lattice parameters (Å, degrees): 2.686 2.686 7.444 90.00 90.00 90.00
Fractional positions:
Mn 0.000 0.000 0.000
Mn 0.500 0.500 0.234
Ru 0.500 0.500 0.775
Pt 0.000 0.000 0.493

Output
**Energy**: -8.438 eV per atom
**Density**: 12.55 Mg/m³
**Space-group type**: P4mm
**Fermi-level density of states**: 1.08 states/eV/atom